This record from Alexandria describes a relaxed structure of MnPtIO2. The functional is GGA+U.

Output
calculated density: 6.2 g/cm3
V: 109.2 Å³/cell
total moment: 5.54 μB/f.u.
total energy: -24.55 eV per cell

Unit cell a=3.913 b=3.913 c=7.131 alpha=90.00 beta=90.00 gamma=90.00
Space group P4/mmm (No. 123)
Unique sites:
Mn 0.000 0.000 0.000 [1 per cell]
Pt 0.500 0.500 0.500 [1 per cell]
I 0.500 0.500 0.000 [1 per cell]
O 0.000 0.500 0.500 [2 per cell]